Here is a geometry-optimized Ca4Cd3Ag structure from the Alexandria database. Energies are from GGA-PBE.

Density of states at the Fermi level ... 0.577 states/eV/atom
E above lowest polymorph ... 0.019 eV/atom
Energy of formation from the pure elements ... -0.3205 eV/atom

Lattice parameters (Å, degrees): 4.1255 4.8322 11.8317 90.00 90.00 90.00
Closest atoms and distances in Å follow each position.
Space group Pmm2 (No. 25)
Unique sites:
Ca1 0.0000 0.0000 0.0000  2 Ag 3.25, 5 Cd 3.28-3.36
Ca2 0.0000 0.5000 0.2836  3 Cd 3.26-3.31, 4 Ag 3.29
Ca3 0.5000 0.0000 0.4862  1 Ag 3.25, 6 Cd 3.31-3.41
Ca4 0.5000 0.5000 0.7902  7 Cd 3.30-3.38
Cd1 0.0000 0.0000 0.7159  2 Cd 3.01, 5 Ca 3.30-3.36
Cd2 0.0000 0.5000 0.5636  2 Cd 3.01, 5 Ca 3.31
Cd3 0.5000 0.5000 0.0698  2 Ag 2.94, 6 Ca 3.26-3.28
Ag1 0.5000 0.0000 0.2118  2 Cd 2.94, 7 Ca 3.25-3.29

Here is a geometry-optimized RbNa2La2 structure from the Alexandria database. Energies are from GGA-PBE.

Density of states at the Fermi level ... 1.527 states/eV/atom
Energy of formation from the pure elements ... 0.3593 eV/atom

Lattice parameters (Å, degrees): 11.0812 11.0812 3.6670 90.00 90.00 90.00
Closest atoms and distances in Å follow each position.
Space group P4/mbm (No. 127)
Unique sites:
Rb1 0.0000 0.0000 0.0000  2 Rb 3.67
Na1 0.1902 0.3098 0.5000  2 Na 3.67, 6 La 3.79-3.87
La1 0.0925 0.5925 0.0000  1 La 2.90

Here is a geometry-optimized PaNi3 structure from the Alexandria database. Energies are from GGA-PBE.

Density of states at the Fermi level ... 0.429 states/eV/atom
E above lowest polymorph ... 0.066 eV/atom
Energy of formation from the pure elements ... -0.3606 eV/atom

Lattice parameters (Å, degrees): 3.8536 3.8536 7.8740 90.00 90.00 90.00
Closest atoms and distances in Å follow each position.
Space group I4/mmm (No. 139)
Unique sites:
Pa1 0.0000 0.0000 0.0000  12 Ni 2.72-2.75
Ni1 0.0000 0.0000 0.5000  4 Pa 2.72, 8 Ni 2.75
Ni2 0.0000 0.5000 0.2500  8 Ni 2.72-2.75, 4 Pa 2.75

Here is a geometry-optimized ErTm6In structure from the Alexandria database. Energies are from GGA-PBE.

Density of states at the Fermi level ... 1.022 states/eV/atom
E above lowest polymorph ... 0.000 eV/atom
Energy of formation from the pure elements ... -0.1140 eV/atom

Lattice parameters (Å, degrees): 4.8481 4.8481 9.8226 90.00 90.00 90.00
Closest atoms and distances in Å follow each position.
Space group P4/mmm (No. 123)
Unique sites:
Er1 0.0000 0.0000 0.0000  12 Tm 3.43-3.48
Tm1 0.0000 0.5000 0.2542  2 In 3.42, 8 Tm 3.42-3.48, 2 Er 3.48
Tm2 0.5000 0.5000 0.0000  4 Er 3.43, 8 Tm 3.48
Tm3 0.5000 0.5000 0.5000  8 Tm 3.42, 4 In 3.43
In1 0.0000 0.0000 0.5000  12 Tm 3.42-3.43

Here is a geometry-optimized LaAlNO2 structure from the Alexandria database. Energies are from GGA-PBE.

Density of states at the Fermi level ... 0.361 states/eV/atom
Raw formation energy ... -2.25 eV per atom

Lattice parameters (Å, degrees): 3.8335 3.8335 3.8901 90.00 90.00 90.00
Closest atoms and distances in Å follow each position.
Space group P4/mmm (No. 123)
Unique sites:
La1 0.0000 0.0000 0.0000  4 N 2.71, 8 O 2.73
Al1 0.5000 0.5000 0.5000  4 O 1.92, 2 N 1.95
N1 0.5000 0.5000 0.0000  2 Al 1.95
O1 0.0000 0.5000 0.5000  2 Al 1.92

Here is a geometry-optimized SrCa2TmAu4 structure from the Alexandria database. Energies are from GGA-PBE.

Density of states at the Fermi level ... 0.648 states/eV/atom
Energy of formation from the pure elements ... -0.7871 eV/atom

Lattice parameters (Å, degrees): 5.1461 5.1461 25.7669 90.00 90.00 120.00
Closest atoms and distances in Å follow each position.
Space group R-3m (No. 166, hexagonal axes)
Unique sites:
Sr1 0.0000 0.0000 0.0000  8 Au 3.25-3.41
Ca1 0.0000 0.0000 0.2491  7 Au 3.01-3.22
Tm1 0.0000 0.0000 0.5000  8 Au 2.97-3.10
Au1 0.0000 0.0000 0.1324  4 Ca 3.01-3.22, 3 Tm 3.10
Au2 0.0000 0.0000 0.3846  1 Tm 2.97, 3 Ca 3.09, 3 Sr 3.25

Here is a geometry-optimized FeIr2Se structure from the Alexandria database. Energies are from GGA-PBE.

Density of states at the Fermi level ... 0.951 states/eV/atom
Raw formation energy ... 0.41 eV per atom

Lattice parameters (Å, degrees): 2.8039 4.7934 9.0841 90.00 90.00 90.00
Closest atoms and distances in Å follow each position.
Space group Cmmm (No. 65)
Unique sites:
Fe1 0.0000 0.0000 0.0000  4 Ir 2.52, 6 Fe 2.78-2.80
Ir1 0.0000 0.5000 0.2300  2 Fe 2.52, 6 Ir 2.78-2.80
Se1 0.0000 0.0000 0.5000  6 Se 2.78-2.80, 4 Ir 2.82

Here is a geometry-optimized Rb4UAg3Br12 structure from the Alexandria database. Energies are from GGA-PBE.

Density of states at the Fermi level ... 0.372 states/eV/atom
Raw formation energy ... -1.14 eV per atom

Lattice parameters (Å, degrees): 11.2361 11.2361 11.2361 90.00 90.00 90.00
Closest atoms and distances in Å follow each position.
Space group Im-3m (No. 229)
Unique sites:
Rb1 0.2500 0.2500 0.2500  12 Br 3.97
U1 0.0000 0.0000 0.0000  6 Br 2.72
Ag1 0.0000 0.0000 0.5000  6 Br 2.81-2.90
Br1 0.0000 0.0000 0.2418  1 U 2.72, 1 Ag 2.90
Br2 0.0000 0.2500 0.5000  2 Ag 2.81

Here is a geometry-optimized PrNd6Y2 structure from the Alexandria database. Energies are from GGA-PBE.

Density of states at the Fermi level ... 1.361 states/eV/atom
E above lowest polymorph ... 0.000 eV/atom
Energy of formation from the pure elements ... 0.1265 eV/atom

Lattice parameters (Å, degrees): 16.6575 8.2703 9.4686 90.00 104.28 90.00
Closest atoms and distances in Å follow each position.
Space group C2/c (No. 15)
Unique sites:
Pr1 0.0000 0.2303 0.2500  6 Nd 3.49-3.70, 2 Y 3.68
Nd1 0.0585 0.1680 0.6290  5 Nd 3.36-3.65, 2 Pr 3.52-3.70, 1 Y 3.54
Nd2 0.1032 0.4541 0.9649  5 Nd 3.37-3.74, 1 Pr 3.49, 2 Y 3.68-3.73
Nd3 0.1798 0.0762 0.9739  5 Nd 3.37-3.66, 4 Y 3.39-3.65
Y1 0.2259 0.2610 0.3059  7 Nd 3.39-3.73, 1 Y 3.57, 1 Pr 3.68

Here is a geometry-optimized MgAg2Pd6 structure from the Alexandria database. Energies are from GGA-PBE.

Density of states at the Fermi level ... 0.711 states/eV/atom
E above lowest polymorph ... 0.000 eV/atom
Energy of formation from the pure elements ... -0.2160 eV/atom

Lattice parameters (Å, degrees): 8.4519 8.4519 4.0234 90.00 90.00 90.00
Closest atoms and distances in Å follow each position.
Space group P4_2/mnm (No. 136)
Unique sites:
Mg1 0.0000 0.0000 0.0000  8 Pd 2.80-2.82, 4 Ag 2.86
Ag1 0.1704 0.1704 0.5000  10 Pd 2.81-2.83, 2 Mg 2.86
Pd1 0.0023 0.3335 0.0000  3 Ag 2.81-2.82, 8 Pd 2.81-2.84, 1 Mg 2.82
Pd2 0.1630 0.8370 0.5000  2 Mg 2.80, 4 Ag 2.82-2.83, 6 Pd 2.83-2.84

Here is a geometry-optimized ThUC2 structure from the Alexandria database. Energies are from GGA-PBE.

Density of states at the Fermi level ... 0.999 states/eV/atom
E above lowest polymorph ... 0.070 eV/atom
Energy of formation from the pure elements ... -0.1914 eV/atom

Lattice parameters (Å, degrees): 3.5101 6.1594 6.1066 90.00 90.00 90.00
Closest atoms and distances in Å follow each position.
Space group Pmmn (No. 59, origin choice 2)
Unique sites:
Th1 0.2500 0.2500 0.0880  6 C 2.65-2.75
U1 0.2500 0.7500 0.4185  6 C 2.38-2.45
C1 0.2500 0.0047 0.7121  3 U 2.38-2.45, 2 Th 2.65

Here is a geometry-optimized MnTc2Ag structure from the Alexandria database. Energies are from GGA-PBE.

Density of states at the Fermi level ... 1.019 states/eV/atom
E above lowest polymorph ... 0.149 eV/atom
Energy of formation from the pure elements ... 0.3948 eV/atom

Lattice parameters (Å, degrees): 9.1486 2.6917 4.9259 90.00 99.19 90.00
Closest atoms and distances in Å follow each position.
Space group Cm (No. 8)
Unique sites:
Mn1 0.0000 0.0000 0.0000  7 Tc 2.67-2.96, 3 Ag 2.68-2.76, 2 Mn 2.69
Tc1 0.0088 0.5000 0.5221  5 Tc 2.58-2.78, 2 Mn 2.72, 3 Ag 2.84-2.87
Tc2 0.2681 0.0000 0.7329  5 Tc 2.58-2.78, 2 Mn 2.67, 4 Ag 2.80-2.82
Ag1 0.2533 0.5000 0.2305  3 Mn 2.68-2.76, 2 Ag 2.69, 7 Tc 2.80-2.87

Here is a geometry-optimized ZnNi6Ir structure from the Alexandria database. Energies are from GGA-PBE.

Density of states at the Fermi level ... 1.452 states/eV/atom
E above lowest polymorph ... 0.000 eV/atom
Energy of formation from the pure elements ... -0.0568 eV/atom

Lattice parameters (Å, degrees): 7.1956 10.1942 10.1998 90.00 90.00 90.00
Closest atoms and distances in Å follow each position.
Space group Cmmm (No. 65)
Unique sites:
Zn1 0.0000 0.0000 0.2478  12 Ni 2.53-2.57
Zn2 0.0000 0.2494 0.0000  12 Ni 2.54-2.56
Ni1 0.0000 0.0000 0.0000  4 Zn 2.53-2.54, 8 Ni 2.54
Ni2 0.0000 0.0000 0.5000  2 Ir 2.53, 8 Ni 2.56, 2 Zn 2.57
Ni3 0.0000 0.2504 0.2501  8 Ni 2.53-2.55, 2 Ir 2.55, 2 Zn 2.55
Ni4 0.0000 0.5000 0.0000  2 Ir 2.52, 8 Ni 2.54, 2 Zn 2.56
Ni5 0.0000 0.5000 0.5000  8 Ni 2.55, 4 Ir 2.57-2.58
Ni6 0.2494 0.3749 0.3738  8 Ni 2.53-2.58, 3 Ir 2.54-2.56, 1 Zn 2.55
Ni7 0.2500 0.1249 0.1243  1 Ir 2.53, 8 Ni 2.54-2.55, 3 Zn 2.54-2.55
Ir1 0.0000 0.2479 0.5000  12 Ni 2.53-2.57
Ir2 0.0000 0.5000 0.2466  12 Ni 2.52-2.58

Here is a geometry-optimized MnZnMo2 structure from the Alexandria database. Energies are from GGA-PBE.

Density of states at the Fermi level ... 0.730 states/eV/atom
Energy of formation from the pure elements ... 0.1323 eV/atom

Lattice parameters (Å, degrees): 2.6448 4.4036 5.0318 90.00 97.09 90.00
Closest atoms and distances in Å follow each position.
Space group Pm (No. 6)
Unique sites:
Mn1 0.0000 0.0000 0.0000  2 Zn 2.59, 2 Mn 2.64, 4 Mo 2.67-2.72
Zn1 0.0973 0.5000 0.7387  2 Mn 2.59, 2 Zn 2.64, 5 Mo 2.67-2.84
Mo1 0.4738 0.0000 0.5008  4 Mo 2.64-2.68, 3 Mn 2.67-2.94, 4 Zn 2.75-2.92
Mo2 0.6725 0.5000 0.2296  4 Mo 2.64-2.68, 3 Zn 2.67-2.84, 2 Mn 2.68

Here is a geometry-optimized Dy3Tm2Mg structure from the Alexandria database. Energies are from GGA-PBE.

Density of states at the Fermi level ... 1.378 states/eV/atom
E above lowest polymorph ... 0.036 eV/atom
Energy of formation from the pure elements ... 0.0267 eV/atom

Lattice parameters (Å, degrees): 17.0624 6.9233 6.0609 90.00 90.70 90.00
Closest atoms and distances in Å follow each position.
Space group C2/c (No. 15)
Unique sites:
Dy1 0.0000 0.1324 0.2500  4 Mg 3.44-3.49, 4 Tm 3.47-3.50, 4 Dy 3.48-3.54
Dy2 0.1676 0.3743 0.0806  6 Tm 3.44-3.51, 4 Dy 3.45-3.49, 2 Mg 3.47-3.52
Tm1 0.1666 0.1227 0.5837  8 Dy 3.44-3.51, 3 Tm 3.47-3.51, 1 Mg 3.48
Mg1 0.0000 0.3712 0.7500  8 Dy 3.44-3.52, 2 Tm 3.48, 2 Mg 3.52

Here is a geometry-optimized Sr2TlW structure from the Alexandria database. Energies are from GGA-PBE.

Density of states at the Fermi level ... 1.261 states/eV/atom
E above lowest polymorph ... 0.590 eV/atom
Energy of formation from the pure elements ... 1.3049 eV/atom

Lattice parameters (Å, degrees): 4.5350 4.5350 22.6380 90.00 90.00 90.00
Closest atoms and distances in Å follow each position.
Space group I-42d (No. 122)
Unique sites:
Sr1 0.2424 0.2500 0.1250  4 Sr 3.16-3.26, 2 W 3.24, 2 Tl 3.26
Tl1 0.0000 0.0000 0.5000  4 W 3.21, 4 Sr 3.26
W1 0.0000 0.0000 0.0000  4 Tl 3.21, 4 Sr 3.24

Here is a geometry-optimized Sr2Al3Zn structure from the Alexandria database. Energies are from GGA-PBE.

Density of states at the Fermi level ... 0.555 states/eV/atom
E above lowest polymorph ... 0.045 eV/atom
Energy of formation from the pure elements ... -0.2165 eV/atom

Lattice parameters (Å, degrees): 4.1935 4.6485 8.0907 90.00 90.00 90.00
Closest atoms and distances in Å follow each position.
Space group Pmm2 (No. 25)
Unique sites:
Sr1 0.0000 0.0000 0.0000  2 Zn 3.39, 10 Al 3.41-3.45
Sr2 0.0000 0.5000 0.4951  8 Al 3.39-3.44, 4 Zn 3.40
Al1 0.5000 0.0000 0.6610  1 Zn 2.68, 2 Al 2.70
Al2 0.5000 0.5000 0.1665  2 Zn 2.67, 1 Al 2.71
Al3 0.5000 0.5000 0.8320  3 Al 2.70-2.71
Zn1 0.5000 0.0000 0.3296  3 Al 2.67-2.68

Here is a geometry-optimized YTa2Mn structure from the Alexandria database. Energies are from GGA-PBE.

Density of states at the Fermi level ... 1.440 states/eV/atom
E above lowest polymorph ... 0.245 eV/atom
Energy of formation from the pure elements ... 0.4465 eV/atom

Lattice parameters (Å, degrees): 4.0339 4.0339 9.6732 90.00 90.00 90.00
Closest atoms and distances in Å follow each position.
Space group I4/mmm (No. 139)
Unique sites:
Y1 0.0000 0.0000 0.0000  4 Mn 2.85, 8 Ta 3.15
Ta1 0.0000 0.5000 0.2500  4 Ta 2.85, 4 Mn 3.15, 4 Y 3.15
Mn1 0.0000 0.0000 0.5000  4 Y 2.85, 8 Ta 3.15

Here is a geometry-optimized ReHgAs2 structure from the Alexandria database. Energies are from GGA-PBE.

Density of states at the Fermi level ... 0.621 states/eV/atom
Energy of formation from the pure elements ... 0.1945 eV/atom

Lattice parameters (Å, degrees): 3.0673 3.1923 18.2784 90.00 90.00 90.00
Closest atoms and distances in Å follow each position.
Space group Imm2 (No. 44)
Unique sites:
Re1 0.0000 0.0000 0.0000  6 As 2.47-2.57
Hg1 0.0000 0.5000 0.2614  4 Hg 3.07-3.19
As1 0.0000 0.0000 0.4280  4 Re 2.57
As2 0.0000 0.5000 0.6057  2 Re 2.47

Here is a geometry-optimized NaSr2BiTe4 structure from the Alexandria database. Energies are from GGA-PBE.

Raw formation energy ... -1.08 eV per atom

Lattice parameters (Å, degrees): 9.2598 9.3869 13.0613 90.00 90.00 90.00
Closest atoms and distances in Å follow each position.
Space group Imma (No. 74)
Unique sites:
Na1 0.0000 0.0000 0.0000  6 Te 3.21-3.27
Sr1 0.0000 0.0000 0.5000  6 Te 3.32
Sr2 0.2500 0.2500 0.2500  6 Te 3.34-3.39
Bi1 0.2500 0.2500 0.7500  6 Te 3.19-3.21
Te1 0.0000 0.0139 0.7543  2 Bi 3.21, 1 Na 3.21, 3 Sr 3.32-3.39
Te2 0.2464 0.2500 0.9941  1 Bi 3.19, 2 Na 3.27, 3 Sr 3.32-3.34